ReIr2Rh | GGA-PBE | optimized geometry

Properties
Its offset from the most stable computed form is 70 meV per atom. The calculation puts the energy of formation from the pure elements at -0.069 eV/atom. The calculation puts the calculated volume at 58 Å³/cell. Its density of states at the Fermi level is 5.21 states/eV/f.u. For the density, the calculation gives 19.29 g cm⁻³. The space-group type is No. 119.

Structure (POSCAR):
```
ReIr2Rh
1.0
4.750 -0.008 -0.004
1.610 4.468 0.003
-3.178 -2.233 2.731
Re Ir Rh
1 2 1
Cartesian
3.180 2.230 -0.001
1.610 4.468 0.003
2.375 -0.005 1.363
0.806 2.232 1.367
```